Entry 1:
This record from the Alexandria database describes a relaxed CsUCu2I8 crystal. The functional is PBE.

abc: 7.351 7.351 11.278
angles: 84.53 84.53 68.22
Fractional positions:
Cs 0.000 0.000 0.500
U 0.000 0.000 0.000
Cu 0.628 0.628 0.214
Cu 0.372 0.372 0.786
I 0.762 0.266 0.811
I 0.757 0.757 0.012
I 0.686 0.686 0.419
I 0.314 0.314 0.581
I 0.243 0.243 0.988
I 0.266 0.762 0.811
I 0.734 0.238 0.189
I 0.238 0.734 0.189

Calculated values
formation energy (no corrections): -0.6504 eV/atom

***

Entry 2:
This record from the Alexandria database describes a relaxed Li2CaPm2Sb2 crystal. The functional is PBE.

abc: 4.804 4.804 9.617
angles: 75.54 75.54 60.00
Fractional positions:
Li 0.594 0.594 0.218
Li 0.406 0.406 0.782
Ca 0.000 0.000 0.000
Pm 0.131 0.131 0.607
Pm 0.869 0.869 0.393
Sb 0.738 0.738 0.786
Sb 0.262 0.262 0.214

Calculated values
formation energy (no corrections): -0.5988 eV/atom

***

Entry 3:
This record from the Alexandria database describes a relaxed Nd3Te2Pt crystal. The functional is PBE.

abc: 4.267 6.364 7.817
angles: 114.02 105.84 90.00
Fractional positions:
Nd 0.359 0.359 0.717
Nd 0.000 0.000 0.000
Nd 0.641 0.641 0.283
Te 0.676 0.176 0.352
Te 0.324 0.824 0.648
Pt 0.000 0.500 0.000

Calculated values
formation energy (no corrections): -1.2953 eV/atom

***

Entry 4:
This record from the Alexandria database describes a relaxed La3SmRu crystal. The functional is PBE.

abc: 5.591 5.591 5.591
angles: 90.00 90.00 90.00
Fractional positions:
Ru 0.000 0.000 0.000
Sm 0.500 0.500 0.500
La 0.000 0.500 0.000
La 0.000 0.000 0.500
La 0.500 0.000 0.000

Calculated values
DFT total energy: -29.1 eV for the cell shown

***

Short version: N(E_F) = 1.3, 5.6, 6.0, 8.4 states/eV/f.u., in the order given.